12
Lattice="6.005 0.000 0.000 0.000 6.005 0.000 0.000 0.000 6.005" Properties=species:S:1:pos:R:3 comment="meta-GGA SCAN TaCdP, PBEsol geometry" e_tot_ev_per_atom=-35.370 crystal_system=cubic sg=F-43m delta_e_f_ev_per_atom=0.43 pbc="T T T"
Ta 0.000 0.000 0.000
Ta 0.000 3.002 3.002
Ta 3.002 0.000 3.002
Ta 3.002 3.002 0.000
Cd 0.000 0.000 3.002
Cd 0.000 3.002 0.000
Cd 3.002 0.000 0.000
Cd 3.002 3.002 3.002
P 1.501 1.501 1.501
P 1.501 4.503 4.503
P 4.503 1.501 4.503
P 4.503 4.503 1.501